[1]
Compound: Ca2LaAu
Source: the Alexandria database
Functional: PBE
Structure: relaxed

a b c (Å): 7.026 7.026 7.026
angles (deg): 148.85 133.25 57.25
Positions (direct):
Au: 0.250 0.750 0.500
La: 0.750 0.250 0.500
Ca: 0.056 0.056 0.000
Ca: 0.444 0.444 0.000

Magnetic moment, μB per atom: 0.000
Calculated volume, Å³/cell: 129.72
ΔH_f (0 K), eV per atom: -0.350
Symmetry: Immm (71)
DOS(E_F), states/eV/f.u.: 3.93
Total energy, eV/atom: -3.4021


[2]
Compound: Ca2LaAu
Source: the Alexandria database
Functional: PBE
Structure: relaxed

a b c (Å): 3.660 3.667 10.099
angles (deg): 68.72 90.00 90.00
Positions (direct):
Ca: 0.000 0.436 0.564
Ca: 0.000 0.064 0.936
La: 0.500 0.250 0.250
Au: 0.500 0.750 0.750

Magnetic moment, μB per atom: 0.000
Calculated volume, Å³/cell: 126.30
ΔH_f (0 K), eV per atom: -0.356
Symmetry: P4/mmm (123)
DOS(E_F), states/eV/f.u.: 4.92
Total energy, eV/atom: -3.4076


[3]
Compound: CaLa3Au4
Source: the Alexandria database
Functional: PBE
Structure: relaxed

a b c (Å): 5.296 5.296 8.425
angles (deg): 108.36 108.32 90.00
Positions (direct):
Au: 0.125 0.125 0.249
Au: 0.375 0.376 0.751
Au: 0.875 0.875 0.751
Au: 0.625 0.624 0.249
Ca: 0.500 0.000 0.000
La: 0.744 0.244 0.489
La: 0.256 0.756 0.511
La: 0.000 0.500 0.000

Magnetic moment, μB per atom: 0.000
Calculated volume, Å³/cell: 211.58
ΔH_f (0 K), eV per atom: -0.797
Symmetry: I4/mmm (139)
DOS(E_F), states/eV/f.u.: 5.59
Total energy, eV/atom: -4.5335


[4]
Compound: Ca2LaAu2
Source: the Alexandria database
Functional: PBE
Structure: relaxed

a b c (Å): 4.582 4.582 7.563
angles (deg): 72.37 72.37 90.00
Positions (direct):
Au: 0.603 0.603 0.794
Au: 0.397 0.397 0.206
Ca: 0.250 0.750 0.500
Ca: 0.750 0.250 0.500
La: 0.000 0.000 0.000

Magnetic moment, μB per atom: 0.000
Calculated volume, Å³/cell: 143.47
ΔH_f (0 K), eV per atom: -0.517
Symmetry: I4/mmm (139)
DOS(E_F), states/eV/f.u.: 5.80
Total energy, eV/atom: -3.6136


[5]
Compound: CaLaAu4
Source: the Alexandria database
Functional: PBE
Structure: relaxed

a b c (Å): 4.064 4.064 9.601
angles (deg): 102.22 102.22 90.00
Positions (direct):
Au: 0.824 0.324 0.648
Au: 0.676 0.176 0.352
Au: 0.423 0.423 0.847
Au: 0.577 0.577 0.153
Ca: 0.250 0.750 0.500
La: 0.000 0.000 0.000

Magnetic moment, μB per atom: 0.000
Calculated volume, Å³/cell: 151.30
ΔH_f (0 K), eV per atom: -0.710
Symmetry: I-4m2 (119)
DOS(E_F), states/eV/f.u.: 2.39
Total energy, eV/atom: -4.0500


[6]
Compound: Ca2LaAu3
Source: the Alexandria database
Functional: PBE
Structure: relaxed

a b c (Å): 3.684 3.684 11.146
angles (deg): 90.00 90.00 90.00
Positions (direct):
Ca: 0.500 0.500 0.838
Ca: 0.500 0.500 0.162
Au: 0.000 0.000 0.000
Au: 0.000 0.000 0.330
Au: 0.000 0.000 0.670
La: 0.500 0.500 0.500

Magnetic moment, μB per atom: 0.000
Calculated volume, Å³/cell: 151.30
ΔH_f (0 K), eV per atom: -0.791
Symmetry: P4/mmm (123)
DOS(E_F), states/eV/f.u.: 3.85
Total energy, eV/atom: -3.9178